#w
Compound: CrS2NO
Source: the Alexandria database
Functional: GGA+U
Structure: optimized geometry

Unit cell a=4.198 b=4.198 c=3.821 alpha=90.00 beta=90.00 gamma=90.00
Positions (direct):
Cr 0.000 0.000 0.000
S 0.000 0.500 0.500
S 0.500 0.000 0.500
N 0.500 0.500 0.000
O 0.500 0.500 0.500

Calculated values
The density of states at the Fermi level comes out at 1.42 states/eV/cell.

---

#x
Compound: CrS2NO
Source: the Alexandria database
Functional: GGA+U
Structure: optimized geometry

Unit cell a=4.474 b=4.474 c=3.520 alpha=90.00 beta=90.00 gamma=90.00
Positions (direct):
Cr 0.000 0.000 0.000
S 0.000 0.500 0.000
S 0.500 0.000 0.000
N 0.000 0.000 0.500
O 0.500 0.500 0.500

Calculated values
The density of states at the Fermi level comes out at 3.98 states/eV/cell.

---

Pick #w: it beats the second-best structure by 60 meV/atom.

---

#w
Compound: CrSe2NO
Source: the Alexandria database
Functional: GGA+U
Structure: optimized geometry

Unit cell a=4.962 b=4.962 c=3.585 alpha=90.00 beta=90.00 gamma=90.00
Positions (direct):
Cr 0.000 0.000 0.000
Se 0.000 0.500 0.000
Se 0.500 0.000 0.000
N 0.000 0.000 0.500
O 0.500 0.500 0.500

Calculated values
The density of states at the Fermi level comes out at 6.51 states/eV/cell.

---

#x
Compound: CrSe2NO
Source: the Alexandria database
Functional: GGA+U
Structure: optimized geometry

Unit cell a=4.455 b=4.455 c=3.872 alpha=90.00 beta=90.00 gamma=90.00
Positions (direct):
Cr 0.000 0.000 0.000
Se 0.000 0.500 0.500
Se 0.500 0.000 0.500
N 0.500 0.500 0.000
O 0.500 0.500 0.500

Calculated values
The density of states at the Fermi level comes out at 1.77 states/eV/cell.

---

Pick #w: it beats the second-best structure by 49 meV/atom.

---

#w
Compound: CrTe2NO
Source: the Alexandria database
Functional: GGA+U
Structure: optimized geometry

Unit cell a=5.320 b=5.320 c=3.524 alpha=90.00 beta=90.00 gamma=90.00
Positions (direct):
Cr 0.000 0.000 0.000
Te 0.000 0.500 0.000
Te 0.500 0.000 0.000
N 0.000 0.000 0.500
O 0.500 0.500 0.500

Calculated values
The density of states at the Fermi level comes out at 3.42 states/eV/cell.

---

#x
Compound: CrTe2NO
Source: the Alexandria database
Functional: GGA+U
Structure: optimized geometry

Unit cell a=4.664 b=4.664 c=4.044 alpha=90.00 beta=90.00 gamma=90.00
Positions (direct):
Cr 0.000 0.000 0.000
Te 0.000 0.500 0.500
Te 0.500 0.000 0.500
N 0.500 0.500 0.000
O 0.500 0.500 0.500

Calculated values
The density of states at the Fermi level comes out at 3.11 states/eV/cell.

---

Pick #w: it beats the second-best structure by 177 meV/atom.